No. 1
NpAg4O7: relaxed, PBE.

Lattice parameters (Å, degrees): 8.703 8.703 5.998 96.67 96.67 29.33
Sites, in units of the cell vectors:
Np (0.000, 0.000, 0.000)
Ag (0.188, 0.188, 0.571)
Ag (0.382, 0.382, 0.154)
Ag (0.618, 0.618, 0.846)
Ag (0.812, 0.812, 0.429)
O (0.059, 0.059, 0.274)
O (0.110, 0.110, 0.843)
O (0.292, 0.292, 0.401)
O (0.500, 0.500, 0.000)
O (0.708, 0.708, 0.599)
O (0.890, 0.890, 0.157)
O (0.941, 0.941, 0.726)

Computed properties:
density of states at the Fermi level	0.35	states/eV per atom
spin magnetization	0.06	μB/cell
formation energy without anion corrections	-20.01	kcal/mol of atoms
SG	No. 12


No. 2
Np3Ag5O12: relaxed, PBE.

Lattice parameters (Å, degrees): 9.924 9.924 3.510 90.00 90.00 120.00
Sites, in units of the cell vectors:
Np (0.000, 0.343, 0.000)
Np (0.343, 0.000, 0.000)
Np (0.657, 0.657, 0.000)
Ag (0.000, 0.716, 0.500)
Ag (0.284, 0.284, 0.500)
Ag (0.333, 0.667, 0.500)
Ag (0.667, 0.333, 0.500)
Ag (0.716, 0.000, 0.500)
O (0.000, 0.212, 0.500)
O (0.000, 0.472, 0.500)
O (0.212, 0.000, 0.500)
O (0.222, 0.451, 0.000)
O (0.228, 0.778, 0.000)
O (0.451, 0.222, 0.000)
O (0.472, 0.000, 0.500)
O (0.528, 0.528, 0.500)
O (0.549, 0.772, 0.000)
O (0.772, 0.549, 0.000)
O (0.778, 0.228, 0.000)
O (0.788, 0.788, 0.500)

Computed properties:
density of states at the Fermi level	0.54	states/eV per atom
spin magnetization	2.00	μB/cell
formation energy without anion corrections	-37.54	kcal/mol of atoms
SG	No. 189